# BiTeSeS2, relaxed, DFT GGA-PBEsol
# crystal system: tetragonal
# ΔE_f (raw): 0.43 eV/atom
# energy: -3.655 eV/atom
data_BiTeSeS2
_space_group_name_H-M_alt 'P 4/m m m'
_space_group_IT_number 123
_space_group_name_Hall '-P 4 2'
_cell_length_a 4.7053
_cell_length_b 4.7053
_cell_length_c 5.6988
_cell_angle_alpha 90.00
_cell_angle_beta 90.00
_cell_angle_gamma 90.00
loop_
_atom_site_label
_atom_site_type_symbol
_atom_site_fract_x
_atom_site_fract_y
_atom_site_fract_z
Bi1 Bi 0.0000 0.0000 0.0000
Te1 Te 0.5000 0.5000 0.0000
Se1 Se 0.0000 0.0000 0.5000
S1 S 0.0000 0.5000 0.5000